DFT (PBE) results for a geometry-optimized La5NdSm2Th structure.

## Properties
**Crystal system**: orthorhombic
**Space-group type**: Cmc2_1 (36)
**E_form**: 0.12 eV/atom

Cell: 11.409 11.409 10.642 Å, 90.00 90.00 151.72°
Fractional coordinates of all 18 atoms:
1 La 0.000 0.000 0.000
2 La 0.000 0.000 0.500
3 La 0.128 0.872 0.750
4 La 0.224 0.776 0.060
5 La 0.224 0.776 0.443
6 La 0.498 0.502 0.250
7 La 0.502 0.498 0.750
8 La 0.776 0.224 0.560
9 La 0.776 0.224 0.943
10 La 0.872 0.128 0.250
11 Nd 0.102 0.898 0.250
12 Nd 0.898 0.102 0.750
13 Sm 0.387 0.613 0.506
14 Sm 0.387 0.613 0.994
15 Sm 0.613 0.387 0.006
16 Sm 0.613 0.387 0.494
17 Th 0.286 0.714 0.751
18 Th 0.714 0.286 0.251



DFT (PBE) results for a geometry-optimized Pm6P2SeS3 structure.

## Properties
**Crystal system**: monoclinic
**Space-group type**: C2/m (12)
**Uncorrected formation energy**: -1.897 eV per atom

Cell: 9.157 9.157 8.207 Å, 102.63 102.63 25.81°
Fractional coordinates of all 12 atoms:
1 Pm 0.004 0.004 0.264
2 Pm 0.328 0.328 0.906
3 Pm 0.331 0.331 0.421
4 Pm 0.669 0.669 0.579
5 Pm 0.672 0.672 0.094
6 Pm 0.996 0.996 0.736
7 P 0.166 0.166 0.333
8 P 0.834 0.834 0.667
9 Se 0.500 0.500 0.000
10 S 0.164 0.164 0.835
11 S 0.500 0.500 0.500
12 S 0.836 0.836 0.165